Below is crystalline YNb3Co at its relaxed geometry, with properties calculated at the PBE level.

Cell and atoms, written as POSCAR:
```
YNb3Co
1.0
4.722 0.000 0.000
0.000 4.722 0.000
0.000 0.000 4.722
Y Nb Co
1 3 1
direct
0.000 0.000 0.000
0.000 0.500 0.500
0.500 0.000 0.500
0.500 0.500 0.000
0.500 0.500 0.500
```

Output
- E_form (eV/atom) = 0.49
- space-group type = No. 221
- crystal system = cubic


Below is crystalline Ho6Te2C at its relaxed geometry, with properties calculated at the PBE level.

Cell and atoms, written as POSCAR:
```
Ho6Te2C
1.0
6.423 0.000 0.000
0.000 7.532 0.000
-5.942 0.000 9.751
Ho Te C
12 4 2
direct
0.125 0.020 0.246
0.125 0.480 0.746
0.182 0.705 0.042
0.182 0.795 0.542
0.363 0.173 0.035
0.363 0.327 0.535
0.637 0.673 0.465
0.637 0.827 0.965
0.818 0.205 0.458
0.818 0.295 0.958
0.875 0.520 0.254
0.875 0.980 0.754
0.331 0.111 0.751
0.331 0.389 0.251
0.669 0.611 0.749
0.669 0.889 0.249
0.000 0.000 0.000
0.000 0.500 0.500
```

Output
- raw formation energy (meV per atom) = -643
- space-group type = No. 14
- crystal system = monoclinic


Below is crystalline ZrSc2Ni at its relaxed geometry, with properties calculated at the PBE level.

Cell and atoms, written as POSCAR:
```
ZrSc2Ni
1.0
1.564 0.903 9.901
-1.564 0.903 9.901
0.000 -1.806 9.901
Zr Sc Ni
1 2 1
direct
0.000 0.000 0.000
0.103 0.103 0.103
0.897 0.897 0.897
0.500 0.500 0.500
```

Output
- E_form (eV/atom) = 0.10
- space-group type = No. 166
- crystal system = trigonal


Below is crystalline SmDyMgAu at its relaxed geometry, with properties calculated at the PBE level.

Cell and atoms, written as POSCAR:
```
SmDyMgAu
1.0
0.000 3.709 3.709
3.709 0.000 3.709
3.709 3.709 0.000
Sm Dy Mg Au
1 1 1 1
direct
0.000 0.000 0.000
0.500 0.500 0.500
0.250 0.250 0.250
0.750 0.750 0.750
```

Output
- E_form (eV/atom) = -0.39
- space-group type = No. 216
- crystal system = cubic